[1]
# CuAgTe (PBE, relaxed)
# polymorph energy (0 for the lowest one) = 299 meV per atom
data_CuAgTe
_chemical_formula_sum 'Cu1 Ag1 Te1'
_space_group_name_H-M_alt 'P 3 m 1'
_space_group_IT_number 156
_space_group_name_Hall 'P 3 -2"'
_cell_length_a 3.5110
_cell_length_b 3.5110
_cell_length_c 5.8221
_cell_angle_alpha 90.00
_cell_angle_beta 90.00
_cell_angle_gamma 120.00
loop_
_atom_site_label
_atom_site_type_symbol
_atom_site_fract_x
_atom_site_fract_y
_atom_site_fract_z
Cu1 Cu 0.0000 0.0000 0.0000
Ag1 Ag 0.6667 0.3333 0.6926
Te1 Te 0.3333 0.6667 0.2943

=====

[2]
# CuAgTe2 (PBE, relaxed)
# E_tot = -3.223 eV per atom
data_CuAgTe2
_chemical_formula_sum 'Cu1 Ag1 Te2'
_space_group_name_H-M_alt 'P 1 2/m 1'
_space_group_IT_number 10
_space_group_name_Hall '-P 2y'
_cell_length_a 3.1765
_cell_length_b 3.8846
_cell_length_c 8.0378
_cell_angle_alpha 90.00
_cell_angle_beta 96.52
_cell_angle_gamma 90.00
loop_
_atom_site_label
_atom_site_type_symbol
_atom_site_fract_x
_atom_site_fract_y
_atom_site_fract_z
Cu1 Cu 0.0000 0.0000 0.0000
Ag1 Ag 0.0000 0.0000 0.5000
Te1 Te 0.0256 0.5000 0.2285

=====

[3]
# Cu2AgTe (PBE, relaxed)
# polymorph energy (0 for the lowest one) = 169 meV per atom
data_Cu2AgTe
_chemical_formula_sum 'Cu8 Ag4 Te4'
_space_group_name_H-M_alt 'F -4 3 m'
_space_group_IT_number 216
_space_group_name_Hall 'F -4 2 3'
_cell_length_a 6.6036
_cell_length_b 6.6036
_cell_length_c 6.6036
_cell_angle_alpha 90.00
_cell_angle_beta 90.00
_cell_angle_gamma 90.00
loop_
_atom_site_label
_atom_site_type_symbol
_atom_site_fract_x
_atom_site_fract_y
_atom_site_fract_z
Cu1 Cu 0.0000 0.0000 0.0000
Cu2 Cu 0.2500 0.2500 0.2500
Ag1 Ag 0.0000 0.0000 0.5000
Te1 Te 0.2500 0.2500 0.7500

=====

[4]
# Cu2AgTe2 (PBE, relaxed)
# polymorph energy (0 for the lowest one) = 52 meV per atom
data_Cu2AgTe2
_chemical_formula_sum 'Cu4 Ag2 Te4'
_space_group_name_H-M_alt 'I 4/m m m'
_space_group_IT_number 139
_space_group_name_Hall '-I 4 2'
_cell_length_a 3.8155
_cell_length_b 3.8155
_cell_length_c 14.9921
_cell_angle_alpha 90.00
_cell_angle_beta 90.00
_cell_angle_gamma 90.00
loop_
_atom_site_label
_atom_site_type_symbol
_atom_site_fract_x
_atom_site_fract_y
_atom_site_fract_z
Cu1 Cu 0.0000 0.5000 0.2500
Ag1 Ag 0.0000 0.0000 0.0000
Te1 Te 0.0000 0.0000 0.3731

=====

[5]
# CuAgTe (PBE, relaxed)
# polymorph energy (0 for the lowest one) = 21 meV per atom
data_CuAgTe
_chemical_formula_sum 'Cu2 Ag2 Te2'
_space_group_name_H-M_alt 'P 1'
_space_group_IT_number 1
_space_group_name_Hall 'P 1'
_cell_length_a 4.4650
_cell_length_b 4.9510
_cell_length_c 7.5867
_cell_angle_alpha 77.47
_cell_angle_beta 74.01
_cell_angle_gamma 64.89
loop_
_atom_site_label
_atom_site_type_symbol
_atom_site_fract_x
_atom_site_fract_y
_atom_site_fract_z
Cu1 Cu 0.0000 0.0000 0.0000
Cu2 Cu 0.2622 0.3916 0.0843
Ag1 Ag 0.6731 0.3551 0.3133
Ag2 Ag 0.7544 0.5980 0.9015
Te1 Te 0.5240 0.1951 0.7776
Te2 Te 0.9861 0.7247 0.3413

=====

[6]
# CuAgTe2 (PBE, relaxed)
# E_tot = -3.158 eV per atom
data_CuAgTe2
_chemical_formula_sum 'Cu2 Ag2 Te4'
_space_group_name_H-M_alt 'I m m 2'
_space_group_IT_number 44
_space_group_name_Hall 'I 2 -2'
_cell_length_a 3.6491
_cell_length_b 3.9567
_cell_length_c 13.0381
_cell_angle_alpha 90.00
_cell_angle_beta 90.00
_cell_angle_gamma 90.00
loop_
_atom_site_label
_atom_site_type_symbol
_atom_site_fract_x
_atom_site_fract_y
_atom_site_fract_z
Cu1 Cu 0.0000 0.0000 0.0000
Ag1 Ag 0.0000 0.5000 0.2619
Te1 Te 0.0000 0.0000 0.4274
Te2 Te 0.0000 0.5000 0.6526

=====

[7]
# CuAgTe2 (PBE, relaxed)
# E_tot = -3.303 eV per atom
data_CuAgTe2
_chemical_formula_sum 'Cu1 Ag1 Te2'
_space_group_name_H-M_alt 'P 1'
_space_group_IT_number 1
_space_group_name_Hall 'P 1'
_cell_length_a 3.2146
_cell_length_b 4.3421
_cell_length_c 7.5296
_cell_angle_alpha 90.00
_cell_angle_beta 89.97
_cell_angle_gamma 89.96
loop_
_atom_site_label
_atom_site_type_symbol
_atom_site_fract_x
_atom_site_fract_y
_atom_site_fract_z
Cu1 Cu 0.0000 0.0000 0.0000
Ag1 Ag 0.0010 0.4969 0.5515
Te1 Te 0.0038 0.4995 0.1807
Te2 Te 0.5033 0.9973 0.7166

=====

[8]
# CuAgTe (PBE, relaxed)
# polymorph energy (0 for the lowest one) = 27 meV per atom
data_CuAgTe
_chemical_formula_sum 'Cu2 Ag2 Te2'
_space_group_name_H-M_alt 'P 4/n m m'
_space_group_IT_number 129
_cell_length_a 4.3860
_cell_length_b 4.3860
_cell_length_c 6.4008
_cell_angle_alpha 90.00
_cell_angle_beta 90.00
_cell_angle_gamma 90.00
loop_
_space_group_symop_operation_xyz
'x,y,z'
'-x,-y,-z'
'-y+1/2,x,z'
'y+1/2,-x,-z'
'-x+1/2,-y+1/2,z'
'x+1/2,y+1/2,-z'
'y,-x+1/2,z'
'-y,x+1/2,-z'
'x+1/2,-y,-z'
'-x+1/2,y,z'
'-y,-x,-z'
'y,x,z'
'-x,y+1/2,-z'
'x,-y+1/2,z'
'y+1/2,x+1/2,-z'
'-y+1/2,-x+1/2,z'
loop_
_atom_site_label
_atom_site_type_symbol
_atom_site_fract_x
_atom_site_fract_y
_atom_site_fract_z
Cu1 Cu 0.2500 0.7500 0.0000
Ag1 Ag 0.2500 0.2500 0.2736
Te1 Te 0.2500 0.2500 0.7329

=====

[9]
# CuAg8Te6 (PBE, relaxed)
# E_tot = -3.034 eV per atom
data_CuAg8Te6
_chemical_formula_sum 'Cu3 Ag24 Te18'
_space_group_name_H-M_alt 'R -3'
_space_group_IT_number 148
_space_group_name_Hall '-R 3'
_cell_length_a 7.5446
_cell_length_b 7.5446
_cell_length_c 22.9776
_cell_angle_alpha 90.00
_cell_angle_beta 90.00
_cell_angle_gamma 120.00
loop_
_atom_site_label
_atom_site_type_symbol
_atom_site_fract_x
_atom_site_fract_y
_atom_site_fract_z
Cu1 Cu 0.0000 0.0000 0.0000
Ag1 Ag 0.0000 0.0000 0.4266
Ag2 Ag 0.0348 0.2631 0.1449
Te1 Te 0.0013 0.6377 0.3985

=====

[10]
# CuAgTe2 (PBE, relaxed)
# E_tot = -3.252 eV per atom
data_CuAgTe2
_chemical_formula_sum 'Cu1 Ag1 Te2'
_space_group_name_H-M_alt 'P 1 2/m 1'
_space_group_IT_number 10
_space_group_name_Hall '-P 2y'
_cell_length_a 4.0752
_cell_length_b 3.9984
_cell_length_c 5.6709
_cell_angle_alpha 90.00
_cell_angle_beta 90.83
_cell_angle_gamma 90.00
loop_
_atom_site_label
_atom_site_type_symbol
_atom_site_fract_x
_atom_site_fract_y
_atom_site_fract_z
Cu1 Cu 0.0000 0.0000 0.0000
Ag1 Ag 0.5000 0.5000 0.5000
Te1 Te 0.0000 0.0000 0.5000
Te2 Te 0.5000 0.5000 0.0000

=====

[11]
# Cu2AgTe (PBE, relaxed)
# polymorph energy (0 for the lowest one) = 46 meV per atom
data_Cu2AgTe
_chemical_formula_sum 'Cu4 Ag2 Te2'
_space_group_name_H-M_alt 'I m m 2'
_space_group_IT_number 44
_space_group_name_Hall 'I 2 -2'
_cell_length_a 3.9685
_cell_length_b 3.9735
_cell_length_c 8.7320
_cell_angle_alpha 90.00
_cell_angle_beta 90.00
_cell_angle_gamma 90.00
loop_
_atom_site_label
_atom_site_type_symbol
_atom_site_fract_x
_atom_site_fract_y
_atom_site_fract_z
Cu1 Cu 0.0000 0.0000 0.0000
Cu2 Cu 0.0000 0.5000 0.2513
Ag1 Ag 0.0000 0.5000 0.7508
Te1 Te 0.0000 0.0000 0.5012

=====

[12]
# Cu3AgTe (PBE, relaxed)
# polymorph energy (0 for the lowest one) = 0 meV per atom
data_Cu3AgTe
_chemical_formula_sum 'Cu3 Ag1 Te1'
_space_group_name_H-M_alt 'P m -3 m'
_space_group_IT_number 221
_space_group_name_Hall '-P 4 2 3'
_cell_length_a 4.8807
_cell_length_b 4.8807
_cell_length_c 4.8807
_cell_angle_alpha 90.00
_cell_angle_beta 90.00
_cell_angle_gamma 90.00
loop_
_atom_site_label
_atom_site_type_symbol
_atom_site_fract_x
_atom_site_fract_y
_atom_site_fract_z
Cu1 Cu 0.0000 0.0000 0.5000
Ag1 Ag 0.5000 0.5000 0.5000
Te1 Te 0.0000 0.0000 0.0000